Record 1
Compound: TiV2TeS
Source: the Alexandria database
Functional: GGA-PBE
Structure: relaxed

```
TiV2TeS
1.0
-1.950 -2.301 -3.142
2.102 -3.743 1.437
-3.328 -0.840 2.680
V Te S Ti
2 1 1 1
Direct
0.500 0.000 0.000
0.000 0.000 0.500
0.500 0.500 0.500
0.000 0.000 0.000
0.000 0.500 0.000
```

Values from the calculation:
- E: -6.77 eV per atom
- Crystal system: tetragonal
- Total magnetization: 0.00 μB per formula unit
- D(E_F): 3.62 states/eV/cell
- Energy relative to the elements, uncorrected: -0.09 eV per atom

***

Record 2
Compound: Pm12Y2Er5
Source: the Alexandria database
Functional: GGA-PBE
Structure: relaxed

```
Pm12Y2Er5
1.0
10.255 0.000 0.000
-5.127 7.738 1.446
0.000 -1.251 7.885
Er Pm Y
5 12 2
Direct
0.000 0.000 0.500
0.351 0.701 0.086
0.245 0.491 0.509
0.755 0.509 0.491
0.649 0.299 0.914
0.424 0.384 0.205
0.848 0.696 0.121
0.960 0.384 0.205
0.833 0.212 0.611
0.152 0.304 0.879
0.448 0.896 0.709
0.552 0.104 0.291
0.040 0.616 0.795
0.576 0.616 0.795
0.167 0.788 0.389
0.379 0.212 0.611
0.621 0.788 0.389
0.242 0.000 0.000
0.758 0.000 0.000
```

Values from the calculation:
- E: -4.75 eV per atom
- Crystal system: monoclinic
- Formation energy: 135 meV per atom
- E above lowest polymorph: 0 meV per atom
- Total magnetization: 0.00 μB per formula unit
- D(E_F): 26.99 states/eV/cell

***

Record 3
Compound: Ac2ScTl2
Source: the Alexandria database
Functional: GGA-PBE
Structure: relaxed

```
Ac2ScTl2
1.0
4.841 0.000 1.147
2.429 6.401 0.540
-0.033 -0.404 10.926
Tl Ac Sc
4 4 2
Direct
0.363 0.153 0.120
0.930 0.714 0.427
0.637 0.847 0.880
0.070 0.286 0.573
0.663 0.350 0.324
0.337 0.650 0.676
0.918 0.266 0.899
0.082 0.734 0.101
0.344 0.938 0.374
0.656 0.062 0.626
```

Values from the calculation:
- E: -4.15 eV per atom
- Crystal system: monoclinic
- Formation energy: -289 meV per atom
- E above lowest polymorph: 0 meV per atom
- Total magnetization: 0.00 μB per formula unit
- D(E_F): 11.70 states/eV/cell

***

Record 4
Compound: SbI2NF
Source: the Alexandria database
Functional: GGA-PBE
Structure: relaxed

```
SbI2NF
1.0
-2.699 1.122 3.895
-0.398 -4.730 1.087
3.966 0.280 2.668
N I F Sb
1 2 1 1
Direct
0.000 0.000 0.000
0.500 0.000 0.000
0.000 0.500 0.000
0.500 0.500 0.500
0.000 0.000 0.500
```

Values from the calculation:
- E: -2.93 eV per atom
- Crystal system: tetragonal
- E above lowest polymorph: 0 meV per atom
- Total magnetization: 0.00 μB per formula unit
- D(E_F): 1.84 states/eV/cell
- Energy relative to the elements, uncorrected: 0.55 eV per atom

***

Record 5
Compound: YTi2PtN
Source: the Alexandria database
Functional: GGA-PBE
Structure: relaxed

```
YTi2PtN
1.0
-2.219 -4.178 2.181
1.308 -2.168 -2.822
4.357 -0.899 2.711
Y N Ti Pt
1 1 2 1
Direct
0.500 0.500 0.500
0.000 0.500 0.000
0.000 0.000 0.500
0.500 0.000 0.000
0.000 0.000 0.000
```

Values from the calculation:
- E: -6.65 eV per atom
- Crystal system: tetragonal
- E above lowest polymorph: 1729 meV per atom
- Total magnetization: 2.74 μB per formula unit
- D(E_F): 5.07 states/eV/cell
- Energy relative to the elements, uncorrected: 0.68 eV per atom

***

Record 6
Compound: TiSi3Rh
Source: the Alexandria database
Functional: GGA-PBE
Structure: relaxed

```
TiSi3Rh
1.0
-0.401 3.607 -2.784
-3.960 -1.658 -1.578
-2.254 2.272 3.268
Si Ti Rh
3 1 1
Direct
0.500 0.000 0.000
0.000 0.000 0.500
0.000 0.500 0.000
0.500 0.500 0.500
0.000 0.000 0.000
```

Values from the calculation:
- E: -5.70 eV per atom
- Crystal system: cubic
- Total magnetization: 0.00 μB per formula unit
- D(E_F): 8.29 states/eV/cell
- Energy relative to the elements, uncorrected: 0.60 eV per atom

***

Record 7
Compound: LaBeIn2
Source: the Alexandria database
Functional: GGA-PBE
Structure: relaxed

```
LaBeIn2
1.0
-2.000 1.017 -5.808
3.763 -0.913 -4.876
-2.760 -2.462 5.008
In Be La
2 1 1
Direct
0.455 0.455 0.000
0.045 0.045 0.000
0.250 0.750 0.500
0.750 0.250 0.500
```

Values from the calculation:
- E: -3.50 eV per atom
- Crystal system: orthorhombic
- Formation energy: 28 meV per atom
- Total magnetization: 0.00 μB per formula unit
- D(E_F): 2.34 states/eV/cell

***

Record 8
Compound: Li2NdGaPd4
Source: the Alexandria database
Functional: GGA-PBE
Structure: relaxed

```
Li2NdGaPd4
1.0
4.401 0.000 0.000
2.201 3.812 0.000
2.201 1.271 8.009
Ga Li Pd Nd
1 2 4 1
Direct
0.500 0.500 0.500
0.239 0.239 0.283
0.761 0.761 0.717
0.870 0.870 0.390
0.130 0.130 0.610
0.396 0.396 0.812
0.604 0.604 0.188
0.000 0.000 0.000
```

Values from the calculation:
- E: -4.67 eV per atom
- Crystal system: trigonal
- Formation energy: -618 meV per atom
- Total magnetization: 0.00 μB per formula unit
- D(E_F): 3.90 states/eV/cell

***

Record 9
Compound: AcCeAlPb
Source: the Alexandria database
Functional: GGA-PBE
Structure: relaxed

```
AcCeAlPb
1.0
-2.059 2.869 -4.346
-5.440 -0.371 -1.274
-3.386 4.371 0.883
Ac Al Pb Ce
1 1 1 1
Direct
0.750 0.750 0.750
0.000 0.000 0.000
0.500 0.500 0.500
0.250 0.250 0.250
```

Values from the calculation:
- E: -4.61 eV per atom
- Crystal system: cubic
- Formation energy: -240 meV per atom
- Total magnetization: 1.24 μB per formula unit
- D(E_F): 8.33 states/eV/cell

***

Record 10
Compound: ZrBeCl2
Source: the Alexandria database
Functional: GGA-PBE
Structure: relaxed

```
ZrBeCl2
1.0
0.000 3.232 3.232
3.232 0.000 3.232
3.232 3.232 0.000
Be Cl Zr
1 2 1
Direct
0.000 0.000 0.000
0.250 0.250 0.250
0.750 0.750 0.750
0.500 0.500 0.500
```

Values from the calculation:
- E: -4.01 eV per atom
- Crystal system: cubic
- E above lowest polymorph: 779 meV per atom
- Total magnetization: 0.24 μB per formula unit
- D(E_F): 3.03 states/eV/cell
- Energy relative to the elements, uncorrected: -0.02 eV per atom

***

Record 11
Compound: Ca4Hg2Rh
Source: the Alexandria database
Functional: GGA-PBE
Structure: relaxed

```
Ca4Hg2Rh
1.0
-2.203 -1.673 4.588
4.017 -3.482 0.659
3.211 8.081 1.360
Ca Hg Rh
4 2 1
Direct
0.824 0.824 0.648
0.000 0.500 0.000
0.500 0.000 0.000
0.176 0.176 0.352
0.374 0.374 0.748
0.626 0.626 0.252
0.000 0.000 0.000
```

Values from the calculation:
- E: -2.60 eV per atom
- Crystal system: tetragonal
- Formation energy: -323 meV per atom
- Total magnetization: 0.00 μB per formula unit
- D(E_F): 5.33 states/eV/cell

***

Record 12
Compound: RbNa3P
Source: the Alexandria database
Functional: GGA-PBE
Structure: relaxed

```
RbNa3P
1.0
-3.915 0.425 4.367
-4.323 -1.377 -3.742
0.752 -5.702 1.229
Na Rb P
3 1 1
Direct
0.000 0.500 0.000
0.000 0.000 0.500
0.500 0.000 0.000
0.000 0.000 0.000
0.500 0.500 0.500
```

Values from the calculation:
- E: -1.17 eV per atom
- Crystal system: cubic
- Formation energy: 897 meV per atom
- E above lowest polymorph: 1047 meV per atom
- Total magnetization: 0.00 μB per formula unit
- D(E_F): 4.63 states/eV/cell

***

Record 13
Compound: KY
Source: the Alexandria database
Functional: GGA-PBE
Structure: relaxed

```
KY
1.0
3.135 -5.429 0.000
3.135 5.429 0.000
0.000 0.000 10.845
K Y
4 4
Direct
0.000 0.000 0.750
0.333 0.667 0.750
0.667 0.333 0.250
0.000 0.000 0.250
0.667 0.333 0.919
0.333 0.667 0.419
0.333 0.667 0.081
0.667 0.333 0.581
```

Values from the calculation:
- E: -2.96 eV per atom
- Crystal system: hexagonal
- Formation energy: 818 meV per atom
- Total magnetization: 0.63 μB per formula unit
- D(E_F): 16.83 states/eV/cell

***

Record 14
Compound: LiTh2Tc2N6
Source: the Alexandria database
Functional: GGA-PBE
Structure: relaxed

```
LiTh2Tc2N6
1.0
-4.992 -1.996 1.387
-0.490 -5.212 1.851
-1.037 -0.487 6.681
N Tc Th Li
6 2 2 1
Direct
0.780 0.259 0.703
0.741 0.220 0.297
0.259 0.259 0.703
0.741 0.741 0.297
0.220 0.741 0.297
0.259 0.780 0.703
0.605 0.605 0.184
0.395 0.395 0.816
0.792 0.792 0.623
0.208 0.208 0.377
0.000 0.000 0.000
```

Values from the calculation:
- E: -8.40 eV per atom
- Crystal system: trigonal
- Total magnetization: 0.00 μB per formula unit
- D(E_F): 5.66 states/eV/cell
- Energy relative to the elements, uncorrected: -0.45 eV per atom